# 1
This record from the Alexandria database describes a PBEsol-optimized structure of V3O4F2. The functional is SCAN.

Properties
ΔE_f (raw)	-2.86	eV per atom
crystal system	triclinic
M_tot	5.00	μB/f.u.
space group	No. 2
calculated density	4.6	Mg/m³
energy	-12.242	eV per atom
D(E_F)	5.4	states/eV per cell

a = 5.417 Å, b = 5.452 Å, c = 7.148 Å
α = 71.85°, β = 70.98°, γ = 73.52°
Last column: magnetic moment on the atom in μB.
Fractional coordinates of all 18 atoms:
V 0.500 0.500 0.500  1.85
V 0.196 0.136 0.359  1.57
V 0.500 0.500 0.000  1.88
V 0.158 0.131 0.837  1.65
V 0.842 0.869 0.163  1.65
V 0.804 0.864 0.641  1.57
O 0.204 0.792 0.002  -0.09
O 0.067 0.055 0.638  -0.10
O 0.397 0.393 0.302  -0.10
O 0.933 0.945 0.362  -0.10
O 0.603 0.607 0.698  -0.10
O 0.482 0.859 0.331  -0.08
O 0.796 0.208 0.998  -0.09
O 0.518 0.141 0.669  -0.08
F 0.877 0.467 0.327  0.01
F 0.739 0.742 0.961  0.02
F 0.261 0.258 0.039  0.02
F 0.123 0.533 0.673  0.01

# 2
This record from the Alexandria database describes a PBEsol-optimized structure of V3O5F. The functional is SCAN.

Properties
ΔE_f (raw)	-2.76	eV per atom
crystal system	triclinic
M_tot	4.00	μB/f.u.
space group	No. 1
calculated density	4.7	Mg/m³
energy	-12.448	eV per atom
D(E_F)	4.0	states/eV per cell

a = 4.558 Å, b = 5.395 Å, c = 7.330 Å
α = 96.17°, β = 90.17°, γ = 90.08°
Last column: magnetic moment on the atom in μB.
Fractional coordinates of all 18 atoms:
V 0.465 0.845 0.347  1.34
V 0.495 0.476 0.996  1.42
V 0.507 0.178 0.657  1.49
V 0.017 0.317 0.325  1.42
V 0.010 0.668 0.689  1.35
V 0.010 0.011 0.986  1.47
O 0.191 0.375 0.564  -0.09
O 0.203 0.697 0.907  -0.08
O 0.200 0.029 0.231  -0.10
O 0.297 0.199 0.898  -0.11
O 0.313 0.537 0.234  -0.08
O 0.292 0.866 0.568  -0.10
O 0.701 0.131 0.428  -0.09
O 0.701 0.470 0.767  -0.09
O 0.795 0.968 0.765  -0.09
O 0.801 0.298 0.099  -0.09
F 0.702 0.798 0.105  0.01
F 0.801 0.636 0.434  0.01